# 1
Lu3Ge3Ir2 | Alexandria | PBE | optimized geometry; energy relative to the elements = -0.927 eV per atom; density = 12.1 g/cm3; SG = Cmcm, No. 63; density of states at the Fermi level = 3.1 states/eV/f.u.
1.0
5.568 0.001 0.000
-3.919 3.955 0.000
0.000 0.000 14.090
Lu Ge Ir
6 6 4
direct
0.856 0.144 0.750 Lu
0.416 0.584 0.389 Lu
0.584 0.416 0.611 Lu
0.416 0.584 0.111 Lu
0.584 0.416 0.889 Lu
0.144 0.856 0.250 Lu
0.878 0.122 0.535 Ge
0.122 0.878 0.465 Ge
0.878 0.122 0.965 Ge
0.849 0.151 0.250 Ge
0.122 0.878 0.035 Ge
0.151 0.849 0.750 Ge
0.300 0.700 0.897 Ir
0.300 0.700 0.603 Ir
0.700 0.300 0.103 Ir
0.700 0.300 0.397 Ir

=====

# 2
PmLuGeIr | Alexandria | PBE | optimized geometry; energy relative to the elements = -0.644 eV per atom; density = 11.1 g/cm3; SG = F-43m, No. 216; density of states at the Fermi level = 2.9 states/eV/f.u.
1.0
4.978 0.000 0.000
2.489 4.311 0.000
2.489 1.437 4.065
Ge Ir Lu Pm
1 1 1 1
direct
0.750 0.750 0.750 Ge
0.250 0.250 0.250 Ir
0.500 0.500 0.500 Lu
0.000 0.000 0.000 Pm

=====

# 3
LuPuGeIr | Alexandria | PBE | optimized geometry; energy relative to the elements = -0.524 eV per atom; density = 13.6 g/cm3; SG = F-43m, No. 216; density of states at the Fermi level = 7.6 states/eV/f.u.
1.0
-4.435 1.809 -1.056
-3.470 0.161 3.462
-1.399 4.312 1.872
Lu Ir Pu Ge
1 1 1 1
direct
0.000 0.000 0.000 Lu
0.750 0.750 0.750 Ir
0.500 0.500 0.500 Pu
0.250 0.250 0.250 Ge